# 1
An optimized crystal structure of RbSrHoCl6. Source: Alexandria via LeMat-Bulk, functional PBE-GGA.

Summary:
Energy in eV/atom: -4.3471

Cell lengths 7.367, 7.367, 13.971 Å; angles 90.00, 90.00, 120.00 degrees
Fractional coordinates of all 18 atoms:
Rb  0.000  0.000  0.000
Rb  0.000  0.000  0.500
Sr  0.333  0.667  0.250
Sr  0.667  0.333  0.750
Ho  0.333  0.667  0.750
Ho  0.667  0.333  0.250
Cl  0.027  0.385  0.642
Cl  0.027  0.643  0.858
Cl  0.357  0.385  0.858
Cl  0.357  0.973  0.642
Cl  0.385  0.027  0.142
Cl  0.385  0.357  0.358
Cl  0.615  0.643  0.642
Cl  0.615  0.973  0.858
Cl  0.643  0.027  0.358
Cl  0.643  0.615  0.142
Cl  0.973  0.357  0.142
Cl  0.973  0.615  0.358

---

# 2
An optimized crystal structure of Rb2HoTlCl6. Source: Alexandria via LeMat-Bulk, functional PBE-GGA.

Summary:
Energy in eV/atom: -3.9487

Cell lengths 7.706, 8.145, 13.428 Å; angles 90.00, 124.52, 90.00 degrees
Fractional coordinates of all 20 atoms:
Rb  0.223  0.070  0.248
Rb  0.223  0.430  0.748
Rb  0.777  0.570  0.252
Rb  0.777  0.930  0.752
Ho  0.500  0.000  0.000
Ho  0.500  0.500  0.500
Tl  0.000  0.000  0.500
Tl  0.000  0.500  0.000
Cl  0.172  0.177  0.949
Cl  0.172  0.323  0.449
Cl  0.268  0.730  0.936
Cl  0.268  0.770  0.436
Cl  0.387  0.042  0.776
Cl  0.387  0.458  0.276
Cl  0.613  0.542  0.724
Cl  0.613  0.958  0.224
Cl  0.732  0.230  0.564
Cl  0.732  0.270  0.064
Cl  0.828  0.677  0.551
Cl  0.828  0.823  0.051

---

Energy relative to the elements, uncorrected? In order: -2.3130; -1.9528 eV per atom.